# 1
Entry from Alexandria: crystalline Ba3BiCl at its relaxed geometry (PBE).

Structure (CIF):
```
data_Ba3BiCl
_chemical_formula_sum 'Ba3 Bi1 Cl1'
_cell_length_a 5.954
_cell_length_b 5.954
_cell_length_c 5.954
_cell_angle_alpha 90.00
_cell_angle_beta 90.00
_cell_angle_gamma 90.00
_space_group_name_H-M_alt 'P m -3 m'
_space_group_IT_number 221
_space_group_name_Hall '-P 4 2 3'
loop_
_atom_site_label
_atom_site_type_symbol
_atom_site_fract_x
_atom_site_fract_y
_atom_site_fract_z
_atom_site_occupancy
Ba1 Ba 0.000 0.000 0.500 1
Bi1 Bi 0.500 0.500 0.500 1
Cl1 Cl 0.000 0.000 0.000 1
```

Output
Density = 5.16 g/cm³
Raw total energy = -16.2 eV for the cell shown



# 2
Entry from Alexandria: crystalline Tl2PbBr at its relaxed geometry (PBE).

Structure (CIF):
```
data_Tl2PbBr
_chemical_formula_sum 'Tl8 Pb4 Br4'
_cell_length_a 7.934
_cell_length_b 7.934
_cell_length_c 7.934
_cell_angle_alpha 90.00
_cell_angle_beta 90.00
_cell_angle_gamma 90.00
_space_group_name_H-M_alt 'F m -3 m'
_space_group_IT_number 225
_space_group_name_Hall '-F 4 2 3'
loop_
_atom_site_label
_atom_site_type_symbol
_atom_site_fract_x
_atom_site_fract_y
_atom_site_fract_z
_atom_site_occupancy
Tl1 Tl 0.250 0.250 0.250 1
Pb1 Pb 0.000 0.000 0.000 1
Br1 Br 0.000 0.000 0.500 1
```

Output
Density = 9.25 g/cm³
Raw total energy = -42.4 eV for the cell shown



# 3
Entry from Alexandria: crystalline CeNdZnSb at its relaxed geometry (PBE).

Structure (CIF):
```
data_CeNdZnSb
_chemical_formula_sum 'Ce4 Nd4 Zn4 Sb4'
_cell_length_a 7.548
_cell_length_b 7.548
_cell_length_c 7.548
_cell_angle_alpha 90.00
_cell_angle_beta 90.00
_cell_angle_gamma 90.00
_space_group_name_H-M_alt 'F -4 3 m'
_space_group_IT_number 216
_space_group_name_Hall 'F -4 2 3'
loop_
_atom_site_label
_atom_site_type_symbol
_atom_site_fract_x
_atom_site_fract_y
_atom_site_fract_z
_atom_site_occupancy
Ce1 Ce 0.000 0.000 0.000 1
Nd1 Nd 0.000 0.000 0.500 1
Zn1 Zn 0.250 0.250 0.750 1
Sb1 Sb 0.250 0.250 0.250 1
```

Output
Density = 7.28 g/cm³
Raw total energy = -72.9 eV for the cell shown



# 4
Entry from Alexandria: crystalline TcIrNF2 at its relaxed geometry (PBE).

Structure (CIF):
```
data_TcIrNF2
_chemical_formula_sum 'Tc1 Ir1 N1 F2'
_cell_length_a 4.534
_cell_length_b 4.534
_cell_length_c 3.663
_cell_angle_alpha 90.00
_cell_angle_beta 90.00
_cell_angle_gamma 90.00
_space_group_name_H-M_alt 'P 4/m m m'
_space_group_IT_number 123
_space_group_name_Hall '-P 4 2'
loop_
_atom_site_label
_atom_site_type_symbol
_atom_site_fract_x
_atom_site_fract_y
_atom_site_fract_z
_atom_site_occupancy
Tc1 Tc 0.000 0.000 0.000 1
Ir1 Ir 0.500 0.500 0.500 1
N1 N 0.500 0.500 0.000 1
F1 F 0.000 0.500 0.500 1
```

Output
Density = 7.55 g/cm³
Raw total energy = -29.4 eV for the cell shown



# 5
Entry from Alexandria: crystalline Ce2Nd3ThS6 at its relaxed geometry (PBE).

Structure (CIF):
```
data_Ce2Nd3ThS6
_chemical_formula_sum 'Ce4 Nd6 Th2 S12'
_cell_length_a 17.667
_cell_length_b 4.051
_cell_length_c 8.106
_cell_angle_alpha 90.00
_cell_angle_beta 103.55
_cell_angle_gamma 90.00
_space_group_name_H-M_alt 'C 1 2/m 1'
_space_group_IT_number 12
loop_
_space_group_symop_operation_xyz
'x,y,z'
'-x,-y,-z'
'-x,y,-z'
'x,-y,z'
'x+1/2,y+1/2,z'
'-x+1/2,-y+1/2,-z'
'-x+1/2,y+1/2,-z'
'x+1/2,-y+1/2,z'
loop_
_atom_site_label
_atom_site_type_symbol
_atom_site_fract_x
_atom_site_fract_y
_atom_site_fract_z
_atom_site_occupancy
Ce1 Ce 0.167 0.000 0.333 1
Nd1 Nd 0.000 0.500 0.500 1
Nd2 Nd 0.166 0.000 0.833 1
Th1 Th 0.000 0.500 0.000 1
S1 S 0.001 0.000 0.250 1
S2 S 0.167 0.500 0.085 1
S3 S 0.168 0.500 0.581 1
```

Output
Density = 6.70 g/cm³
Raw total energy = -164.7 eV for the cell shown



# 6
Entry from Alexandria: crystalline Na2H6IrAu at its relaxed geometry (PBE).

Structure (CIF):
```
data_Na2H6IrAu
_chemical_formula_sum 'Na2 H6 Ir1 Au1'
_cell_length_a 5.1248
_cell_length_b 5.1248
_cell_length_c 5.3853
_cell_angle_alpha 90.00
_cell_angle_beta 90.00
_cell_angle_gamma 120.00
_space_group_name_H-M_alt 'P -3 m 1'
_space_group_IT_number 164
_space_group_name_Hall '-P 3 2"'
loop_
_atom_site_label
_atom_site_type_symbol
_atom_site_fract_x
_atom_site_fract_y
_atom_site_fract_z
_atom_site_occupancy
Na1 Na 0.3333 0.6667 0.1876 1
H1 H 0.1599 0.3199 0.8318 1
Ir1 Ir 0.0000 0.0000 0.0000 1
Au1 Au 0.0000 0.0000 0.5000 1
```

Output
Density = 5.98 g/cm³
Raw total energy = -37.2 eV for the cell shown



# 7
Entry from Alexandria: crystalline K2Rb2Pb at its relaxed geometry (PBE).

Structure (CIF):
```
data_K2Rb2Pb
_chemical_formula_sum 'K4 Rb4 Pb2'
_cell_length_a 9.585
_cell_length_b 9.585
_cell_length_c 6.841
_cell_angle_alpha 90.00
_cell_angle_beta 90.00
_cell_angle_gamma 90.00
_space_group_name_H-M_alt 'P 4/m b m'
_space_group_IT_number 127
_space_group_name_Hall '-P 4 2ab'
loop_
_atom_site_label
_atom_site_type_symbol
_atom_site_fract_x
_atom_site_fract_y
_atom_site_fract_z
_atom_site_occupancy
K1 K 0.193 0.307 0.000 1
Rb1 Rb 0.147 0.647 0.500 1
Pb1 Pb 0.000 0.000 0.500 1
```

Output
Energy relative to the elements = 0.6 eV/f.u.
Density = 2.41 g/cm³
Raw total energy = -14.5 eV for the cell shown



# 8
Entry from Alexandria: crystalline AlB6Mo2 at its relaxed geometry (PBE).

Structure (CIF):
```
data_AlB6Mo2
_chemical_formula_sum 'Al1 B6 Mo2'
_cell_length_a 5.2983
_cell_length_b 5.2983
_cell_length_c 3.2098
_cell_angle_alpha 90.00
_cell_angle_beta 90.00
_cell_angle_gamma 120.00
_space_group_name_H-M_alt 'P 6/m m m'
_space_group_IT_number 191
_space_group_name_Hall '-P 6 2'
loop_
_atom_site_label
_atom_site_type_symbol
_atom_site_fract_x
_atom_site_fract_y
_atom_site_fract_z
_atom_site_occupancy
Al1 Al 0.0000 0.0000 0.0000 1
B1 B 0.0000 0.3282 0.5000 1
Mo1 Mo 0.3333 0.6667 0.0000 1
```

Output
Energy relative to the elements = -1.7 eV/f.u.
Density = 6.04 g/cm³
Raw total energy = -67.1 eV for the cell shown



# 9
Entry from Alexandria: crystalline AlGaTc2 at its relaxed geometry (PBE).

Structure (CIF):
```
data_AlGaTc2
_chemical_formula_sum 'Al4 Ga4 Tc8'
_cell_length_a 6.851
_cell_length_b 6.851
_cell_length_c 5.374
_cell_angle_alpha 90.00
_cell_angle_beta 90.00
_cell_angle_gamma 90.00
_space_group_name_H-M_alt 'I -4 2 d'
_space_group_IT_number 122
_space_group_name_Hall 'I -4 2bw'
loop_
_atom_site_label
_atom_site_type_symbol
_atom_site_fract_x
_atom_site_fract_y
_atom_site_fract_z
_atom_site_occupancy
Al1 Al 0.000 0.000 0.000 1
Ga1 Ga 0.000 0.000 0.500 1
Tc1 Tc 0.249 0.750 0.625 1
```

Output
Energy relative to the elements = 1.5 eV/f.u.
Density = 7.71 g/cm³
Raw total energy = -103.9 eV for the cell shown



# 10
Entry from Alexandria: crystalline BaAc2Dy at its relaxed geometry (PBE).

Structure (CIF):
```
data_BaAc2Dy
_chemical_formula_sum 'Ba3 Ac6 Dy3'
_cell_length_a 3.9471
_cell_length_b 3.9471
_cell_length_c 39.0605
_cell_angle_alpha 90.00
_cell_angle_beta 90.00
_cell_angle_gamma 120.00
_space_group_name_H-M_alt 'R 3 m'
_space_group_IT_number 160
_space_group_name_Hall 'R 3 -2"'
loop_
_atom_site_label
_atom_site_type_symbol
_atom_site_fract_x
_atom_site_fract_y
_atom_site_fract_z
_atom_site_occupancy
Ba1 Ba 0.0000 0.0000 0.0000 1
Ac1 Ac 0.0000 0.0000 0.5756 1
Ac2 Ac 0.0000 0.0000 0.7584 1
Dy1 Dy 0.0000 0.0000 0.1670 1
```

Output
Energy relative to the elements = 0.4 eV/f.u.
Density = 7.13 g/cm³
Raw total energy = -43.1 eV for the cell shown



# 11
Entry from Alexandria: crystalline Na3GePb at its relaxed geometry (PBE).

Structure (CIF):
```
data_Na3GePb
_chemical_formula_sum 'Na3 Ge1 Pb1'
_cell_length_a 5.514
_cell_length_b 5.514
_cell_length_c 5.514
_cell_angle_alpha 90.00
_cell_angle_beta 90.00
_cell_angle_gamma 90.00
_space_group_name_H-M_alt 'P m -3 m'
_space_group_IT_number 221
_space_group_name_Hall '-P 4 2 3'
loop_
_atom_site_label
_atom_site_type_symbol
_atom_site_fract_x
_atom_site_fract_y
_atom_site_fract_z
_atom_site_occupancy
Na1 Na 0.000 0.000 0.500 1
Ge1 Ge 0.000 0.000 0.000 1
Pb1 Pb 0.500 0.500 0.500 1
```

Output
Energy relative to the elements = 1.4 eV/f.u.
Density = 3.45 g/cm³
Raw total energy = -10.9 eV for the cell shown



# 12
Entry from Alexandria: crystalline CsK3Sb at its relaxed geometry (PBE).

Structure (CIF):
```
data_CsK3Sb
_chemical_formula_sum 'Cs1 K3 Sb1'
_cell_length_a 6.863
_cell_length_b 6.863
_cell_length_c 6.863
_cell_angle_alpha 90.00
_cell_angle_beta 90.00
_cell_angle_gamma 90.00
_space_group_name_H-M_alt 'P m -3 m'
_space_group_IT_number 221
_space_group_name_Hall '-P 4 2 3'
loop_
_atom_site_label
_atom_site_type_symbol
_atom_site_fract_x
_atom_site_fract_y
_atom_site_fract_z
_atom_site_occupancy
Cs1 Cs 0.000 0.000 0.000 1
K1 K 0.000 0.000 0.500 1
Sb1 Sb 0.500 0.500 0.500 1
```

Output
Density = 1.91 g/cm³
Raw total energy = -5.4 eV for the cell shown